NaTiSi2O6 at its PBEsol-relaxed geometry, computed with meta-GGA SCAN.

a = 5.2454 Å, b = 6.5752 Å, c = 6.5749 Å
α = 83.17°, β = 78.20°, γ = 78.20°
Last column: magnetic moment on the atom in μB.
Atoms (fractional coordinates):
Na: 0.2501 0.1927 0.3075  0.00
Na: 0.7499 0.8073 0.6925  0.00
Ti: 0.7500 0.4137 0.0863  0.88
Ti: 0.2500 0.5863 0.9137  0.88
Si: 0.2606 0.6980 0.3869  0.01
Si: 0.7394 0.3020 0.6131  0.01
Si: 0.7606 0.8869 0.1979  0.01
Si: 0.2394 0.1131 0.8021  0.01
O: 0.1888 0.6047 0.6247  0.00
O: 0.8112 0.3953 0.3753  0.00
O: 0.3507 0.5317 0.2071  0.00
O: 0.6493 0.4683 0.7929  0.00
O: 0.4918 0.8398 0.3643  0.00
O: 0.5082 0.1602 0.6357  0.00
O: 0.9918 0.8643 0.3398  0.00
O: 0.0082 0.1357 0.6602  0.00
O: 0.8506 0.7072 0.0316  0.00
O: 0.1494 0.2928 0.9684  0.00
O: 0.6888 0.1247 0.1047  0.00
O: 0.3112 0.8753 0.8953  0.00

Values from the calculation:
**M_tot**: 1.000 μB/f.u.
**DOS at the Fermi energy**: 0.1 states/eV/f.u.
**Raw formation energy**: -2.97 eV/atom

Na16Ti7Si8O40 at its PBEsol-relaxed geometry, computed with meta-GGA SCAN.

a = 9.7525 Å, b = 10.4597 Å, c = 10.9153 Å
α = 78.06°, β = 63.66°, γ = 62.21°
Last column: magnetic moment on the atom in μB.
Atoms (fractional coordinates):
Na: 0.9971 0.2472 0.7510  0.00
Na: 0.4936 0.2409 0.7516  0.00
Na: 0.7557 0.2472 0.2490  0.00
Na: 0.2656 0.2409 0.2484  0.00
Na: 0.5064 0.7591 0.2484  0.00
Na: 0.0029 0.7528 0.2490  0.00
Na: 0.7344 0.7591 0.7516  0.00
Na: 0.2443 0.7528 0.7510  0.00
Na: 0.8311 0.0000 0.7533  0.00
Na: 0.3233 0.0000 0.7541  0.00
Na: 0.1689 0.0000 0.2467  0.00
Na: 0.6767 0.0000 0.2459  0.00
Na: 0.5000 0.5000 0.5000  0.00
Na: 0.0000 0.5000 0.5000  0.00
Na: 0.7405 0.5190 0.0000  0.00
Na: 0.2595 0.4810 0.0000  0.00
Ti: 0.6424 0.5028 0.7462  -0.01
Ti: 0.1452 0.4972 0.7462  -0.01
Ti: 0.8548 0.5028 0.2538  -0.01
Ti: 0.3576 0.4972 0.2538  -0.01
Ti: 0.2798 0.0000 0.4721  0.00
Ti: 0.7202 0.0000 0.5279  0.00
Ti: 0.0000 0.0000 0.0000  -0.13
Si: 0.8760 0.2481 0.5000  0.00
Si: 0.3767 0.2466 0.5000  0.00
Si: 0.1109 0.2584 0.0046  -0.02
Si: 0.6307 0.2584 0.9954  -0.02
Si: 0.6233 0.7534 0.5000  0.00
Si: 0.1240 0.7519 0.5000  0.00
Si: 0.8891 0.7416 0.9954  -0.02
Si: 0.3693 0.7416 0.0046  -0.02
O: 0.6092 0.1718 0.9033  0.42
O: 0.0891 0.1513 0.9323  0.04
O: 0.2190 0.1718 0.0967  0.42
O: 0.7597 0.1513 0.0677  0.04
O: 0.7723 0.1477 0.5617  0.01
O: 0.2693 0.1483 0.5691  0.00
O: 0.0800 0.1477 0.4383  0.01
O: 0.5824 0.1483 0.4309  0.00
O: 0.9109 0.8487 0.0677  0.04
O: 0.3908 0.8282 0.0967  0.42
O: 0.2403 0.8487 0.9323  0.04
O: 0.7810 0.8282 0.9033  0.42
O: 0.7307 0.8517 0.4309  0.00
O: 0.2277 0.8523 0.4383  0.01
O: 0.4176 0.8517 0.5691  0.00
O: 0.9200 0.8523 0.5617  0.01
O: 0.4676 0.5002 0.7468  0.00
O: 0.9678 0.4998 0.7468  0.00
O: 0.0322 0.5002 0.2532  0.00
O: 0.5324 0.4998 0.2532  0.00
O: 0.9247 0.3695 0.1100  0.14
O: 0.4459 0.3524 0.1137  0.06
O: 0.7058 0.3695 0.8900  0.14
O: 0.2017 0.3524 0.8863  0.06
O: 0.8127 0.3525 0.3827  0.01
O: 0.3082 0.3524 0.3856  0.01
O: 0.8348 0.3525 0.6173  0.01
O: 0.3394 0.3524 0.6144  0.01
O: 0.5541 0.6476 0.8863  0.06
O: 0.0753 0.6305 0.8900  0.14
O: 0.7983 0.6476 0.1137  0.06
O: 0.2942 0.6305 0.1100  0.14
O: 0.6918 0.6476 0.6144  0.01
O: 0.1873 0.6475 0.6173  0.01
O: 0.6606 0.6476 0.3856  0.01
O: 0.1652 0.6475 0.3827  0.01
O: 0.5741 0.0000 0.6879  0.00
O: 0.0236 0.0000 0.8187  0.45
O: 0.4259 0.0000 0.3121  0.00
O: 0.9764 0.0000 0.1813  0.45

Values from the calculation:
**M_tot**: 4.031 μB/f.u.
**DOS at the Fermi energy**: 6.2 states/eV/f.u.
**Raw formation energy**: -2.67 eV/atom

Na2Ti2Si2O9 at its PBEsol-relaxed geometry, computed with meta-GGA SCAN.

a = 5.2382 Å, b = 8.6936 Å, c = 14.5453 Å
α = 90.00°, β = 90.00°, γ = 90.00°
Atoms (fractional coordinates):
Na: 0.1411 0.5627 0.3460
Na: 0.1411 0.4373 0.1540
Na: 0.3589 0.0627 0.6540
Na: 0.3589 0.9373 0.8460
Na: 0.8589 0.4373 0.6540
Na: 0.8589 0.5627 0.8460
Na: 0.6411 0.9373 0.3460
Na: 0.6411 0.0627 0.1540
Ti: 0.6304 0.3481 0.3306
Ti: 0.6304 0.6519 0.1694
Ti: 0.8696 0.8481 0.6694
Ti: 0.8696 0.1519 0.8306
Ti: 0.3696 0.6519 0.6694
Ti: 0.3696 0.3481 0.8306
Ti: 0.1304 0.1519 0.3306
Ti: 0.1304 0.8481 0.1694
Si: 0.6994 0.6572 0.4738
Si: 0.6994 0.3428 0.0262
Si: 0.8006 0.1572 0.5262
Si: 0.8006 0.8428 0.9738
Si: 0.3006 0.3428 0.5262
Si: 0.3006 0.6572 0.9738
Si: 0.1994 0.8428 0.4738
Si: 0.1994 0.1572 0.0262
O: 0.5072 0.5000 0.2500
O: 0.9928 0.0000 0.7500
O: 0.4928 0.5000 0.7500
O: 0.0072 0.0000 0.2500
O: 0.9426 0.3179 0.2766
O: 0.9426 0.6821 0.2234
O: 0.5574 0.8179 0.7234
O: 0.5574 0.1821 0.7766
O: 0.0574 0.6821 0.7234
O: 0.0574 0.3179 0.7766
O: 0.4426 0.1821 0.2766
O: 0.4426 0.8179 0.2234
O: 0.9350 0.7652 0.4325
O: 0.9350 0.2348 0.0675
O: 0.2591 0.5095 0.5727
O: 0.5650 0.2652 0.5675
O: 0.0650 0.2348 0.5675
O: 0.0650 0.7652 0.9325
O: 0.4350 0.7348 0.4325
O: 0.4350 0.2652 0.0675
O: 0.7409 0.4905 0.4273
O: 0.7409 0.5095 0.0727
O: 0.7591 0.9905 0.5727
O: 0.7591 0.0095 0.9273
O: 0.2014 0.1660 0.9146
O: 0.2014 0.8340 0.5854
O: 0.2986 0.6660 0.0854
O: 0.2986 0.3340 0.4146
O: 0.7986 0.8340 0.0854
O: 0.7986 0.1660 0.4146
O: 0.7014 0.3340 0.9146
O: 0.7014 0.6660 0.5854
O: 0.2409 0.9905 0.0727
O: 0.2409 0.0095 0.4273
O: 0.2591 0.4905 0.9273
O: 0.5650 0.7348 0.9325

Values from the calculation:
**M_tot**: 0.000 μB/f.u.
**DOS at the Fermi energy**: 0.0 states/eV/f.u.
**Raw formation energy**: -3.02 eV/atom

NaVSiO4 at its PBEsol-relaxed geometry, computed with meta-GGA SCAN.

a = 5.0080 Å, b = 5.0080 Å, c = 6.5715 Å
α = 90.00°, β = 90.00°, γ = 116.00°
Last column: magnetic moment on the atom in μB.
Atoms (fractional coordinates):
Na: 0.6812 0.3188 0.2500  0.00
Na: 0.3188 0.6812 0.7500  0.00
V: 0.0000 0.0000 0.0000  1.88
V: 0.0000 0.0000 0.5000  1.88
Si: 0.6626 0.3374 0.7500  0.01
Si: 0.3374 0.6626 0.2500  0.01
O: 0.7796 0.2204 0.5555  -0.01
O: 0.7796 0.2204 0.9445  -0.01
O: 0.2204 0.7796 0.0555  -0.01
O: 0.2204 0.7796 0.4445  -0.01
O: 0.2933 0.2011 0.7500  0.00
O: 0.2011 0.2933 0.2500  0.00
O: 0.7989 0.7067 0.7500  0.00
O: 0.7067 0.7989 0.2500  0.00

Values from the calculation:
**M_tot**: 2.000 μB/f.u.
**Raw formation energy**: -2.68 eV/atom

NaVSi2O6 at its PBEsol-relaxed geometry, computed with meta-GGA SCAN.

a = 5.2599 Å, b = 6.5286 Å, c = 6.5286 Å
α = 83.81°, β = 77.42°, γ = 77.42°
Last column: magnetic moment on the atom in μB.
Atoms (fractional coordinates):
Na: 0.7500 0.3018 0.6982  0.00
Na: 0.2500 0.6982 0.3018  0.00
V: 0.7500 0.9108 0.0892  1.86
V: 0.2500 0.0892 0.9108  1.86
Si: 0.2665 0.1991 0.3856  0.00
Si: 0.7665 0.3856 0.1991  0.00
Si: 0.2335 0.6144 0.8009  0.00
Si: 0.7335 0.8009 0.6144  0.00
O: 0.6399 0.9669 0.8017  0.01
O: 0.3601 0.0331 0.1983  0.01
O: 0.1399 0.8017 0.9669  0.01
O: 0.8601 0.1983 0.0331  0.01
O: 0.6959 0.6227 0.1010  0.00
O: 0.3041 0.3773 0.8990  0.00
O: 0.8041 0.8990 0.3773  0.00
O: 0.1959 0.1010 0.6227  0.00
O: 0.9922 0.3633 0.3438  0.00
O: 0.5078 0.6562 0.6367  0.00
O: 0.4922 0.3438 0.3633  0.00
O: 0.0078 0.6367 0.6562  0.00

Values from the calculation:
**M_tot**: 2.000 μB/f.u.
**Raw formation energy**: -2.86 eV/atom

Na2ZnSi2O6 at its PBEsol-relaxed geometry, computed with meta-GGA SCAN.

a = 5.1582 Å, b = 5.1582 Å, c = 11.3015 Å
α = 102.63°, β = 102.63°, γ = 92.39°
Atoms (fractional coordinates):
Na: 0.3690 0.3208 0.6553
Na: 0.6792 0.6310 0.3447
Na: 0.0844 0.5363 0.1553
Na: 0.4637 0.9156 0.8447
Zn: 0.2512 0.7488 0.5000
Zn: 0.5012 0.4988 0.0000
Si: 0.8459 0.8921 0.6659
Si: 0.1079 0.1541 0.3341
Si: 0.5238 0.0700 0.1659
Si: 0.9300 0.4762 0.8341
O: 0.6317 0.8444 0.5345
O: 0.1556 0.3683 0.4655
O: 0.4401 0.1528 0.0345
O: 0.8472 0.5599 0.9655
O: 0.7761 0.6575 0.7385
O: 0.3425 0.2239 0.2615
O: 0.8310 0.2125 0.2385
O: 0.7875 0.1690 0.7615
O: 0.1543 0.9091 0.6564
O: 0.0909 0.8457 0.3436
O: 0.2479 0.5027 0.8436
O: 0.4973 0.7521 0.1564

Values from the calculation:
**M_tot**: 0.000 μB/f.u.
**DOS at the Fermi energy**: 0.0 states/eV/f.u.
**Raw formation energy**: -2.56 eV/atom

Na2ZnSi2O6 at its PBEsol-relaxed geometry, computed with meta-GGA SCAN.

a = 5.6815 Å, b = 5.6815 Å, c = 9.9561 Å
α = 91.57°, β = 91.57°, γ = 114.35°
Atoms (fractional coordinates):
Na: 0.6112 0.2608 0.8956
Na: 0.7392 0.3888 0.6044
Na: 0.3888 0.7392 0.1044
Na: 0.2608 0.6112 0.3956
Zn: 0.2702 0.7298 0.7500
Zn: 0.7298 0.2702 0.2500
Si: 0.8339 0.8619 0.8610
Si: 0.1661 0.1381 0.1390
Si: 0.8619 0.8339 0.3610
Si: 0.1381 0.1661 0.6390
O: 0.9076 0.0924 0.7500
O: 0.2284 0.4700 0.6092
O: 0.3676 0.0896 0.6930
O: 0.7716 0.5300 0.3908
O: 0.4700 0.2284 0.1092
O: 0.5300 0.7716 0.8908
O: 0.6324 0.9104 0.3070
O: 0.0000 0.0000 0.5000
O: 0.0896 0.3676 0.1930
O: 0.9104 0.6324 0.8070
O: 0.0924 0.9076 0.2500
O: 0.0000 0.0000 0.0000

Values from the calculation:
**M_tot**: 0.000 μB/f.u.
**DOS at the Fermi energy**: 0.0 states/eV/f.u.
**Raw formation energy**: -2.54 eV/atom

Na2ZnSiO4 at its PBEsol-relaxed geometry, computed with meta-GGA SCAN.

a = 5.2635 Å, b = 5.4642 Å, c = 7.0010 Å
α = 90.00°, β = 89.74°, γ = 90.00°
Atoms (fractional coordinates):
Na: 0.9875 0.6758 0.7473
Na: 0.4919 0.8177 0.9920
Na: 0.4875 0.3242 0.2473
Na: 0.9919 0.1823 0.4920
Zn: 0.5005 0.8119 0.4976
Zn: 0.0005 0.1881 0.9976
Si: 0.0045 0.6876 0.2452
Si: 0.5045 0.3124 0.7452
O: 0.3652 0.2097 0.9402
O: 0.8652 0.7903 0.4402
O: 0.4223 0.1574 0.5524
O: 0.9223 0.8426 0.0524
O: 0.8141 0.2889 0.7722
O: 0.9253 0.3971 0.2177
O: 0.4253 0.6029 0.7177
O: 0.3141 0.7111 0.2722

Values from the calculation:
**M_tot**: 0.000 μB/f.u.
**DOS at the Fermi energy**: 0.0 states/eV/f.u.
**Raw formation energy**: -2.36 eV/atom

NaZrSi2O7 at its PBEsol-relaxed geometry, computed with meta-GGA SCAN.

a = 5.4536 Å, b = 6.7526 Å, c = 8.7877 Å
α = 70.83°, β = 87.80°, γ = 86.16°
Last column: magnetic moment on the atom in μB.
Atoms (fractional coordinates):
Na: 0.7690 0.1707 0.4788  0.00
Na: 0.2310 0.8293 0.5212  0.00
Zr: 0.2238 0.2080 0.7300  -0.04
Zr: 0.7762 0.7920 0.2700  -0.04
Si: 0.3100 0.4434 0.3265  -0.01
Si: 0.6900 0.5566 0.6735  -0.01
Si: 0.2232 0.1465 0.1543  -0.02
Si: 0.7768 0.8535 0.8457  -0.02
O: 0.9853 0.0492 0.2669  0.16
O: 0.0147 0.9508 0.7331  0.16
O: 0.2903 0.2309 0.4843  0.11
O: 0.7097 0.7691 0.5157  0.11
O: 0.4124 0.4783 0.6819  0.11
O: 0.5876 0.5217 0.3181  0.11
O: 0.1950 0.1643 0.9680  0.17
O: 0.8050 0.8357 0.0320  0.17
O: 0.8957 0.3756 0.6659  0.10
O: 0.1043 0.6244 0.3341  0.10
O: 0.5373 0.0085 0.7709  0.24
O: 0.4627 0.9915 0.2291  0.24
O: 0.2617 0.3801 0.1652  0.07
O: 0.7383 0.6199 0.8348  0.07

Values from the calculation:
**M_tot**: 1.040 μB/f.u.
**DOS at the Fermi energy**: 4.7 states/eV/f.u.
**Raw formation energy**: -2.86 eV/atom

NaSmO2 at its PBEsol-relaxed geometry, computed with meta-GGA SCAN.

a = 3.4917 Å, b = 3.4917 Å, c = 5.8902 Å
α = 72.76°, β = 72.76°, γ = 60.00°
Atoms (fractional coordinates):
Na: 0.0000 0.0000 0.0000
Sm: 0.5000 0.5000 0.5000
O: 0.7615 0.7615 0.7155
O: 0.2385 0.2385 0.2845

Values from the calculation:
**M_tot**: 0.001 μB/f.u.
**DOS at the Fermi energy**: 0.0 states/eV/f.u.
**Raw formation energy**: -2.95 eV/atom

NaSmO2 at its PBEsol-relaxed geometry, computed with meta-GGA SCAN.

a = 4.6654 Å, b = 4.6654 Å, c = 6.2659 Å
α = 111.86°, β = 111.86°, γ = 90.00°
Atoms (fractional coordinates):
Na: 0.5000 0.5000 0.0000
Na: 0.7500 0.2500 0.5000
O: 0.7799 0.7799 0.5599
O: 0.4701 0.9701 0.9401
O: 0.0299 0.5299 0.0599
O: 0.2201 0.2201 0.4401
Sm: 0.0000 0.0000 0.0000
Sm: 0.2500 0.7500 0.5000

Values from the calculation:
**M_tot**: 0.000 μB/f.u.
**DOS at the Fermi energy**: 0.0 states/eV/f.u.
**Raw formation energy**: -2.98 eV/atom

Na3SmV2O8 at its PBEsol-relaxed geometry, computed with meta-GGA SCAN.

a = 5.9038 Å, b = 5.9038 Å, c = 6.9753 Å
α = 90.00°, β = 90.00°, γ = 120.00°
Atoms (fractional coordinates):
Na: 0.6667 0.3333 0.3377
Na: 0.3333 0.6667 0.6623
Na: 0.0000 0.0000 0.0000
Sm: 0.0000 0.0000 0.5000
V: 0.6667 0.3333 0.7908
V: 0.3333 0.6667 0.2092
O: 0.6667 0.3333 0.0272
O: 0.3333 0.6667 0.9728
O: 0.8244 0.6488 0.6989
O: 0.1756 0.3512 0.3011
O: 0.8244 0.1756 0.6989
O: 0.1756 0.8244 0.3011
O: 0.3512 0.1756 0.6989
O: 0.6488 0.8244 0.3011

Values from the calculation:
**M_tot**: 0.000 μB/f.u.
**DOS at the Fermi energy**: 0.0 states/eV/f.u.
**Raw formation energy**: -2.66 eV/atom

NaSn2O4 at its PBEsol-relaxed geometry, computed with meta-GGA SCAN.

a = 6.6040 Å, b = 6.6040 Å, c = 6.6040 Å
α = 60.00°, β = 60.00°, γ = 60.00°
Atoms (fractional coordinates):
Na: 0.2500 0.2500 0.2500
Na: 0.0000 0.0000 0.0000
Sn: 0.6250 0.6250 0.1250
Sn: 0.6250 0.6250 0.6250
Sn: 0.1250 0.6250 0.6250
Sn: 0.6250 0.1250 0.6250
O: 0.8191 0.3936 0.3936
O: 0.8564 0.4309 0.8564
O: 0.3936 0.3936 0.3936
O: 0.3936 0.3936 0.8191
O: 0.4309 0.8564 0.8564
O: 0.3936 0.8191 0.3936
O: 0.8564 0.8564 0.4309
O: 0.8564 0.8564 0.8564

Values from the calculation:
**M_tot**: 0.000 μB/f.u.
**DOS at the Fermi energy**: 0.3 states/eV/f.u.
**Raw formation energy**: -1.61 eV/atom